Compound: AcNdHo4Tm2
Source: Alexandria via LeMat-Bulk
Functional: GGA-PBE
Structure: optimized geometry

Values from the calculation:
- DFT formation energy: 0.448 eV per atom
- Total moment: 2.1 μB per formula unit

a b c (Å): 6.9188 11.8622 13.3930
angles (deg): 90.00 90.00 90.00
Last column: nearest neighbours and their distance in Å.
Space group Imma (No. 74)
Symmetry-distinct sites (fractional):
Ac 0.2500 0.2500 0.2500 [4 per cell]  2 Ac 3.46, 6 Ho 3.51-3.59
Nd 0.0000 0.0000 0.0000 [4 per cell]  6 Ho 3.41-3.44, 2 Tm 3.46
Ho 0.0000 0.0154 0.7457 [8 per cell]  3 Tm 3.28-3.30, 1 Nd 3.41, 2 Ho 3.46, 2 Ac 3.59
Ho 0.2479 0.2500 0.5124 [8 per cell]  3 Tm 3.18-3.43, 2 Ho 3.43-3.49, 2 Nd 3.44, 1 Ac 3.51
Tm 0.0000 0.0000 0.5000 [4 per cell]  6 Ho 3.30-3.43, 2 Nd 3.46
Tm 0.2500 0.2500 0.7500 [4 per cell]  6 Ho 3.18-3.28, 2 Tm 3.46



Compound: Rb2NaIn3
Source: Alexandria via LeMat-Bulk
Functional: GGA-PBE
Structure: optimized geometry

Values from the calculation:
- DFT formation energy: -0.065 eV per atom
- Total moment: 0.0 μB per formula unit

a b c (Å): 11.4895 6.5582 6.9322
angles (deg): 90.00 123.68 90.00
Last column: nearest neighbours and their distance in Å.
Space group C2/m (No. 12)
Symmetry-distinct sites (fractional):
Rb 0.1212 0.0000 0.3629 [4 per cell]  3 Na 3.88-3.91, 9 In 3.89-4.14, 4 Rb 4.11-4.19
Na 0.0000 0.5000 0.5000 [2 per cell]  6 In 3.45-3.47
In 0.0000 0.5000 0.0000 [2 per cell]  4 In 3.31, 2 Na 3.47
In 0.2500 0.2500 0.0000 [4 per cell]  4 In 3.28-3.31, 2 Na 3.45